Entry 1:
VASP calculation (PBE) on a geometry-optimized LaGeRu2 structure.

Unit cell a=4.3023 b=4.3023 c=15.6910 alpha=90.00 beta=90.00 gamma=120.00
Space group R3m (No. 160, hexagonal axes)
One atom of each set of equivalent atoms:
La  0.0000  0.0000  0.0000
Ge  0.0000  0.0000  0.7935
Ru  0.0000  0.0000  0.1969
Ru  0.0000  0.0000  0.5109

Properties
M_tot = 0.000 μB per formula unit
N(E_F) = 0.919 states/eV/atom
Formation enthalpy at 0 K = -0.35 eV per atom
Crystal system = trigonal
Mass density = 8.19 g cm⁻³

Entry 2:
VASP calculation (PBE) on a geometry-optimized La2Ge3Ru structure.

Unit cell a=8.601 b=8.679 c=14.891 alpha=90.00 beta=90.00 gamma=90.00
Space group Fmmm (No. 69)
One atom of each set of equivalent atoms:
La  0.241  0.000  0.000
La  0.250  0.250  0.250
Ge  0.000  0.000  0.330
Ge  0.000  0.247  0.085
Ru  0.000  0.000  0.166

Properties
M_tot = 0.000 μB per formula unit
N(E_F) = 0.750 states/eV/atom
Formation enthalpy at 0 K = -0.70 eV per atom
Crystal system = orthorhombic
Mass density = 7.13 g cm⁻³

Entry 3:
VASP calculation (PBE) on a geometry-optimized La4GeRu structure.

Unit cell a=9.098 b=14.060 c=6.437 alpha=90.00 beta=120.67 gamma=90.00
Space group C2/c (No. 15)
One atom of each set of equivalent atoms:
La  0.120  0.186  0.081
La  0.218  0.435  0.316
Ge  0.000  0.375  0.750
Ru  0.000  0.005  0.250

Properties
M_tot = 0.000 μB per formula unit
N(E_F) = 1.018 states/eV/atom
Formation enthalpy at 0 K = -0.45 eV per atom
Crystal system = monoclinic
Mass density = 6.84 g cm⁻³

Entry 4:
VASP calculation (PBE) on a geometry-optimized La4Ge3Ru structure.

Unit cell a=4.192 b=4.535 c=10.996 alpha=90.00 beta=90.00 gamma=90.00
Space group Pmm2 (No. 25)
One atom of each set of equivalent atoms:
La  0.000  0.000  0.000
La  0.000  0.500  0.472
La  0.500  0.000  0.702
La  0.500  0.500  0.209
Ge  0.000  0.500  0.767
Ge  0.500  0.000  0.406
Ge  0.500  0.500  0.919
Ru  0.000  0.000  0.261

Properties
M_tot = 0.365 μB per formula unit
N(E_F) = 0.794 states/eV/atom
Formation enthalpy at 0 K = -0.69 eV per atom
Crystal system = orthorhombic
Mass density = 6.95 g cm⁻³

Entry 5:
VASP calculation (PBE) on a geometry-optimized LaGe2Ru2 structure.

Unit cell a=4.330 b=4.330 c=10.176 alpha=90.00 beta=90.00 gamma=90.00
Space group I4/mmm (No. 139)
One atom of each set of equivalent atoms:
La  0.000  0.000  0.000
Ge  0.000  0.000  0.365
Ru  0.000  0.500  0.250

Properties
M_tot = 0.000 μB per formula unit
N(E_F) = 0.457 states/eV/atom
Formation enthalpy at 0 K = -0.69 eV per atom
Crystal system = tetragonal
Mass density = 8.47 g cm⁻³

Entry 6:
VASP calculation (PBE) on a geometry-optimized La2GeRu structure.

Unit cell a=4.851 b=4.851 c=4.054 alpha=90.00 beta=90.00 gamma=90.00
Space group P4/mmm (No. 123)
One atom of each set of equivalent atoms:
La  0.000  0.500  0.000
Ge  0.000  0.000  0.500
Ru  0.500  0.500  0.500

Properties
M_tot = 0.000 μB per formula unit
N(E_F) = 0.544 states/eV/atom
Formation enthalpy at 0 K = -0.38 eV per atom
Crystal system = tetragonal
Mass density = 7.86 g cm⁻³

> What is the formula in the sixth record?

La2GeRu

> What is the formation enthalpy at 0 K in the fifth record?

-0.69 eV per atom

> Which of these has the lowest formation enthalpy at 0 K?

La2Ge3Ru